Record 1
The following is a DFT calculation (PBE-GGA) of GeIBr after structural relaxation.

Calculated values
Size of the total moment (μB/f.u.): 0.00
N(E_F) (states/eV per atom): 0.000
Offset from the most stable computed form (eV/atom): 0.0495
Formation energy (no corrections) (meV per atom): -389

a = 4.246 Å, b = 7.539 Å, c = 8.066 Å
α = 83.60°, β = 75.13°, γ = 89.99°
Positions (direct):
Ge1 0.000 0.000 0.000
Ge2 0.027 0.507 0.941
I1 0.435 0.256 0.132
I2 0.592 0.795 0.809
Br1 0.155 0.362 0.680
Br2 0.874 0.792 0.260

***

Record 2
The following is a DFT calculation (PBE-GGA) of Tm12NiAg6 after structural relaxation.

Calculated values
Size of the total moment (μB/f.u.): 0.00
N(E_F) (states/eV per atom): 1.063
ΔE_f (eV per formula unit): -2.3

a = 7.956 Å, b = 7.956 Å, c = 7.956 Å
α = 93.32°, β = 93.32°, γ = 93.32°
Positions (direct):
Tm1 0.044 0.700 0.929
Tm2 0.071 0.956 0.300
Tm3 0.187 0.536 0.402
Tm4 0.300 0.071 0.956
Tm5 0.402 0.187 0.536
Tm6 0.464 0.598 0.813
Tm7 0.536 0.402 0.187
Tm8 0.598 0.813 0.464
Tm9 0.700 0.929 0.044
Tm10 0.813 0.464 0.598
Tm11 0.929 0.044 0.700
Tm12 0.956 0.300 0.071
Ni1 0.500 0.500 0.500
Ag1 0.151 0.366 0.760
Ag2 0.240 0.849 0.634
Ag3 0.366 0.760 0.151
Ag4 0.634 0.240 0.849
Ag5 0.760 0.151 0.366
Ag6 0.849 0.634 0.240

***

Record 3
The following is a DFT calculation (PBE-GGA) of LiTePt2 after structural relaxation.

Calculated values
Size of the total moment (μB/f.u.): 0.00
N(E_F) (states/eV per atom): 0.438
Formation energy (no corrections) (meV per atom): -194

a = 4.602 Å, b = 4.602 Å, c = 4.602 Å
α = 60.00°, β = 60.00°, γ = 60.00°
Positions (direct):
Li1 0.000 0.000 0.000
Te1 0.250 0.250 0.250
Pt1 0.500 0.500 0.500
Pt2 0.750 0.750 0.750

***

Record 4
The following is a DFT calculation (PBE-GGA) of TmTiPdRu after structural relaxation.

Calculated values
Size of the total moment (μB/f.u.): 0.00
N(E_F) (states/eV per atom): 0.794
ΔE_f (eV per formula unit): -2.3

a = 4.617 Å, b = 4.617 Å, c = 4.617 Å
α = 60.00°, β = 60.00°, γ = 60.00°
Positions (direct):
Tm1 0.000 0.000 0.000
Ti1 0.500 0.500 0.500
Pd1 0.250 0.250 0.250
Ru1 0.750 0.750 0.750

***

Record 5
The following is a DFT calculation (PBE-GGA) of TlHg3 after structural relaxation.

Calculated values
Size of the total moment (μB/f.u.): 0.00
N(E_F) (states/eV per atom): 0.438
ΔE_f (eV per formula unit): 0.0

a = 3.512 Å, b = 3.512 Å, c = 10.600 Å
α = 90.00°, β = 90.00°, γ = 120.00°
Positions (direct):
Tl1 0.000 0.000 0.000
Hg1 0.000 0.000 0.500
Hg2 0.333 0.667 0.260
Hg3 0.333 0.667 0.740